Compound: TaMoPd2
Source: Alexandria via LeMat-Bulk
Functional: PBE
Structure: relaxed

Calculated values
space group = Fm-3m
energy relative to the elements = 0.2009 eV/atom

```
4
Lattice="0.000 3.198 3.198 3.198 0.000 3.198 3.198 3.198 0.000" Properties=species:S:1:pos:R:3 pbc="T T T"
Pd 4.796 4.796 4.796
Pd 1.599 1.599 1.599
Mo 0.000 0.000 0.000
Ta 3.198 3.198 3.198
```

***

Compound: Ta3MoPd
Source: Alexandria via LeMat-Bulk
Functional: PBE
Structure: relaxed

Calculated values
space group = Pm-3m
energy relative to the elements = 1.6610 eV/atom

```
5
Lattice="-0.214 -3.549 -3.176 4.554 0.777 -1.175 1.393 -3.087 3.355" Properties=species:S:1:pos:R:3 pbc="T T T"
Ta -0.107 -1.774 -1.588
Ta 2.277 0.389 -0.588
Mo 2.867 -2.929 -0.498
Ta 0.696 -1.544 1.678
Pd 0.000 0.000 0.000
```

***

Compound: TaMo3Pd
Source: Alexandria via LeMat-Bulk
Functional: PBE
Structure: relaxed

Calculated values
space group = Pm-3m
energy relative to the elements = 1.9415 eV/atom

```
5
Lattice="-1.799 3.817 2.008 -2.474 -2.696 2.907 3.533 0.056 3.058" Properties=species:S:1:pos:R:3 pbc="T T T"
Mo 1.766 0.028 1.529
Ta -0.370 0.588 3.987
Mo -0.899 1.908 1.004
Mo -1.237 -1.348 1.454
Pd 0.000 0.000 0.000
```

***

Compound: TaMo2Pd
Source: Alexandria via LeMat-Bulk
Functional: PBE
Structure: relaxed

Calculated values
space group = Fm-3m
energy relative to the elements = 0.1993 eV/atom

```
4
Lattice="0.000 3.199 3.199 3.199 0.000 3.199 3.199 3.199 0.000" Properties=species:S:1:pos:R:3 pbc="T T T"
Mo 4.799 4.799 4.799
Mo 1.600 1.600 1.600
Pd 0.000 0.000 0.000
Ta 3.199 3.199 3.199
```